Record 1
Below is an optimized crystal structure of Y2ScCu6, with properties calculated at the PBE level.

As for the formation energy from the elements: -0.213 eV/atom. The total magnetization is 0.0 μB/f.u. The electronic total energy comes out at -0.374 Ry per atom. As for the calculated volume: 160 Å³/cell. For the density of states at the Fermi level, the calculation gives 6.31 states/eV/cell.

It has space group P6/mmm (No. 191), with a = 7.2998 Å, b = 7.2998 Å, c = 3.4634 Å, α = 90.00°, β = 90.00° and γ = 120.00°. The distinct sites, in fractional coordinates, are Y at (0.3333, 0.6667, 0.0000), Sc at (0.0000, 0.0000, 0.0000) and Cu at (0.0000, 0.3296, 0.5000).

---

Record 2
Below is an optimized crystal structure of HgBi3Pb5, with properties calculated at the PBE level.

As for the formation energy from the elements: 0.144 eV/atom. The total magnetization is 0.0 μB/f.u. The electronic total energy comes out at -0.238 Ry per atom. As for the calculated volume: 1337 Å³/cell. For the density of states at the Fermi level, the calculation gives 15.99 states/eV/cell. For the polymorph energy (0 for the lowest one), the calculation gives 141 meV/atom.

It has space group C2/m (No. 12), with a = 16.318 Å, b = 9.701 Å, c = 9.892 Å, α = 90.00°, β = 121.38° and γ = 90.00°. The distinct sites, in fractional coordinates, are Hg at (0.126, 0.000, 0.363), Bi at (0.000, 0.000, 0.000), Bi at (0.000, 0.000, 0.500), Bi at (0.169, 0.500, 0.567), Bi at (0.188, 0.500, 0.250), Pb at (0.000, 0.321, 0.000), Pb at (0.038, 0.500, 0.758), Pb at (0.159, 0.223, 0.746) and Pb at (0.205, 0.000, 0.025).

---

Question: Which of these has the highest calculated volume?
Answer: HgBi3Pb5

---

Question: Look up the electronic total energy of the second one.
Answer: -0.238 Ry per atom

---

Repeat the first record exactly.
Below is an optimized crystal structure of Y2ScCu6, with properties calculated at the PBE level.

As for the formation energy from the elements: -0.213 eV/atom. The total magnetization is 0.0 μB/f.u. The electronic total energy comes out at -0.374 Ry per atom. As for the calculated volume: 160 Å³/cell. For the density of states at the Fermi level, the calculation gives 6.31 states/eV/cell.

It has space group P6/mmm (No. 191), with a = 7.2998 Å, b = 7.2998 Å, c = 3.4634 Å, α = 90.00°, β = 90.00° and γ = 120.00°. The distinct sites, in fractional coordinates, are Y at (0.3333, 0.6667, 0.0000), Sc at (0.0000, 0.0000, 0.0000) and Cu at (0.0000, 0.3296, 0.5000).